YFeRh2C: optimized geometry, PBE-GGA.

a = 4.2062 Å, b = 4.2062 Å, c = 3.9458 Å
α = 90.00°, β = 90.00°, γ = 90.00°
Space group P4/mmm (No. 123)
One atom of each set of equivalent atoms:
Y  0.0000  0.0000  0.0000 (multiplicity 1)
Fe  0.5000  0.5000  0.0000 (multiplicity 1)
Rh  0.0000  0.5000  0.5000 (multiplicity 2)
C  0.5000  0.5000  0.5000 (multiplicity 1)

For the volume, the calculation gives 13.962 Å³/atom. The value obtained for the final energy is -40.34 eV per cell. The calculation puts the formation energy from the elements at -0.2973 eV per atom.